GGA-PBE CaCoTc2, optimized geometry; total DFT energy (no corrections) = -27.96 eV/cell; crystal system = monoclinic; ΔH_f (0 K) = 0.469 eV per atom; E above lowest polymorph = 147.0 meV/atom
1.0
4.393 -1.418 0.000
4.393 1.418 0.000
-0.886 0.000 5.595
Ca Co Tc
1 1 2
direct
0.000 0.000 0.000
0.761 0.761 0.291
0.224 0.224 0.635
0.482 0.482 0.491



GGA-PBE CaCoTc, optimized geometry; total DFT energy (no corrections) = -14.25 eV/cell; crystal system = cubic; ΔH_f (0 K) = 1.741 eV per atom; E above lowest polymorph = 1582.9 meV/atom
1.0
0.000 3.162 3.162
3.162 0.000 3.162
3.162 3.162 0.000
Ca Co Tc
1 1 1
direct
0.000 0.000 0.000
0.750 0.750 0.750
0.250 0.250 0.250



GGA-PBE CaCo2Tc, optimized geometry; total DFT energy (no corrections) = -24.75 eV/cell; crystal system = orthorhombic; ΔH_f (0 K) = 0.456 eV per atom; E above lowest polymorph = 159.4 meV/atom
1.0
-1.354 2.295 4.849
1.354 -2.295 4.849
1.354 2.295 -4.849
Ca Co Tc
1 2 1
direct
0.000 0.000 0.000
0.514 0.514 0.000
0.720 0.220 0.500
0.289 0.789 0.500



GGA-PBE Ca3CoTc, optimized geometry; total DFT energy (no corrections) = -19.05 eV/cell; crystal system = cubic; ΔH_f (0 K) = 0.885 eV per atom; E above lowest polymorph = 0.0 meV/atom
1.0
5.232 0.000 0.000
0.000 5.232 0.000
0.000 0.000 5.232
Ca Co Tc
3 1 1
direct
0.000 0.000 0.500
0.000 0.500 0.000
0.500 0.000 0.000
0.000 0.000 0.000
0.500 0.500 0.500



GGA-PBE CaCoTc, optimized geometry; total DFT energy (no corrections) = -37.87 eV/cell; crystal system = monoclinic; ΔH_f (0 K) = 0.180 eV per atom; E above lowest polymorph = 22.3 meV/atom
1.0
5.331 -2.095 0.000
5.331 2.095 0.000
-0.203 0.000 5.047
Ca Co Tc
2 2 2
direct
0.000 0.000 0.000
0.552 0.552 0.504
0.277 0.277 0.270
0.816 0.816 0.488
0.275 0.275 0.751
0.735 0.735 0.014



GGA-PBE Ca2CoTc4, optimized geometry; total DFT energy (no corrections) = -44.06 eV/cell; crystal system = tetragonal; ΔH_f (0 K) = 1.216 eV per atom
1.0
-2.237 2.237 7.428
2.237 -2.237 7.428
2.237 2.237 -7.428
Ca Co Tc
2 1 4
direct
0.150 0.150 0.000
0.850 0.850 0.000
0.500 0.500 0.000
0.000 0.500 0.500
0.352 0.352 0.000
0.500 0.000 0.500
0.648 0.648 0.000